PmRuC2O8 | PBE | optimized geometry

abc: 5.096 5.096 5.718
angles: 106.74 106.74 59.69
Sites, in units of the cell vectors:
Pm1 0.000 0.000 0.000
Ru1 0.500 0.500 0.500
C1 0.201 0.201 0.630
C2 0.799 0.799 0.370
O1 0.091 0.643 0.272
O2 0.158 0.158 0.394
O3 0.357 0.909 0.728
O4 0.371 0.371 0.747
O5 0.629 0.629 0.253
O6 0.643 0.091 0.272
O7 0.842 0.842 0.606
O8 0.909 0.357 0.728

Calculated values
The space-group type is C2/m. The value obtained for the formation energy (no corrections) is -1.3521 eV per atom.